[1]
## Ac2Si3Ir (PBE-GGA)

Data for an optimized crystal structure of Ac2Si3Ir.

It has space group Fmmm (No. 69), with a = 8.4417 Å, b = 9.1485 Å, c = 14.5802 Å, α = 90.00°, β = 90.00° and γ = 90.00°. The inequivalent atoms are Ac at (0.0000, 0.2454, 0.0000), Ac at (0.2500, 0.2500, 0.2500), Si at (0.0000, 0.0000, 0.3324), Si at (0.2495, 0.0000, 0.4161) and Ir at (0.0000, 0.0000, 0.1662).

The value obtained for the offset from the most stable computed form is 0 meV per atom. The uncorrected formation energy is -4.879 eV/f.u.

[2]
## Ac6SiIr3 (PBE-GGA)

Data for an optimized crystal structure of Ac6SiIr3.

It has space group P2_1/m (No. 11), with a = 12.4024 Å, b = 4.4500 Å, c = 12.6430 Å, α = 90.00°, β = 108.68° and γ = 90.00°. The inequivalent atoms are Ac at (0.0373, 0.2500, 0.3921), Ac at (0.1042, 0.2500, 0.9391), Ac at (0.2264, 0.7500, 0.2639), Ac at (0.2971, 0.7500, 0.7558), Ac at (0.3795, 0.2500, 0.5364), Ac at (0.4228, 0.7500, 0.0919), Si at (0.4526, 0.2500, 0.3052), Ir at (0.0578, 0.2500, 0.1645), Ir at (0.1913, 0.7500, 0.4969) and Ir at (0.3426, 0.2500, 0.9163).

The uncorrected formation energy is -5.753 eV/f.u.

[3]
## Ac3Si5Ir6 (PBE-GGA)

Data for an optimized crystal structure of Ac3Si5Ir6.

It has space group Pmmn (No. 59, origin choice 2), with a = 4.0863 Å, b = 12.6353 Å, c = 10.4957 Å, α = 90.00°, β = 90.00° and γ = 90.00°. The inequivalent atoms are Ac at (0.2500, 0.1013, 0.2439), Ac at (0.2500, 0.7500, 0.2406), Si at (0.2500, 0.0722, 0.6413), Si at (0.2500, 0.6200, 0.9956), Si at (0.2500, 0.7500, 0.5879), Ir at (0.2500, 0.0496, 0.8912), Ir at (0.2500, 0.2500, 0.0012), Ir at (0.2500, 0.2500, 0.5293) and Ir at (0.2500, 0.5788, 0.4854).

The uncorrected formation energy is -11.798 eV/f.u.

[4]
## Ac3Si4Ir2 (PBE-GGA)

Data for an optimized crystal structure of Ac3Si4Ir2.

It has space group C2/m (No. 12), with a = 12.0525 Å, b = 4.2720 Å, c = 8.4587 Å, α = 90.00°, β = 108.44° and γ = 90.00°. The inequivalent atoms are Ac at (0.0000, 0.0000, 0.0000), Ac at (0.1027, 0.5000, 0.6911), Si at (0.1223, 0.0000, 0.3976), Si at (0.2198, 0.5000, 0.0776) and Ir at (0.2020, 0.5000, 0.3594).

The value obtained for the offset from the most stable computed form is 57 meV per atom. The uncorrected formation energy is -6.783 eV/f.u.

[5]
## AcSi2Ir2 (PBE-GGA)

Data for an optimized crystal structure of AcSi2Ir2.

It has space group I4/mmm (No. 139), with a = 4.1793 Å, b = 4.1793 Å, c = 10.7876 Å, α = 90.00°, β = 90.00° and γ = 90.00°. The inequivalent atoms are Ac at (0.0000, 0.0000, 0.0000), Si at (0.0000, 0.0000, 0.3658) and Ir at (0.0000, 0.5000, 0.2500).

The value obtained for the offset from the most stable computed form is 0 meV per atom. The uncorrected formation energy is -4.741 eV/f.u.

[6]
## Ac3Si4Ir2 (PBE-GGA)

Data for an optimized crystal structure of Ac3Si4Ir2.

It has space group C2/m (No. 12), with a = 11.9651 Å, b = 4.1281 Å, c = 8.6636 Å, α = 90.00°, β = 97.29° and γ = 90.00°. The inequivalent atoms are Ac at (0.0000, 0.0000, 0.0000), Ac at (0.1681, 0.5000, 0.6601), Si at (0.0506, 0.0000, 0.3839), Si at (0.2263, 0.5000, 0.0684) and Ir at (0.1061, 0.5000, 0.2747).

The value obtained for the offset from the most stable computed form is 0 meV per atom. The uncorrected formation energy is -7.295 eV/f.u.

[7]
## Ac2SiIr2 (PBE-GGA)

Data for an optimized crystal structure of Ac2SiIr2.

It has space group C2/m (No. 12), with a = 12.0783 Å, b = 4.1625 Å, c = 11.1276 Å, α = 90.00°, β = 115.75° and γ = 90.00°. The inequivalent atoms are Ac at (0.0950, 0.0000, 0.4066), Ac at (0.2076, 0.5000, 0.1533), Si at (0.0704, 0.5000, 0.8230), Ir at (0.0470, 0.0000, 0.9131) and Ir at (0.1178, 0.5000, 0.6342).

The value obtained for the offset from the most stable computed form is 25 meV per atom. The uncorrected formation energy is -3.533 eV/f.u.

[8]
## AcSi2Ir5 (PBE-GGA)

Data for an optimized crystal structure of AcSi2Ir5.

It has space group Immm (No. 71), with a = 3.9616 Å, b = 6.9469 Å, c = 9.8424 Å, α = 90.00°, β = 90.00° and γ = 90.00°. The inequivalent atoms are Ac at (0.0000, 0.0000, 0.0000), Si at (0.0000, 0.5000, 0.2378), Ir at (0.0000, 0.1971, 0.3509) and Ir at (0.0000, 0.5000, 0.0000).

The uncorrected formation energy is -5.051 eV/f.u.

[9]
## Ac2Si3Ir2 (PBE-GGA)

Data for an optimized crystal structure of Ac2Si3Ir2.

It has space group C2/m (No. 12), with a = 11.6329 Å, b = 4.0371 Å, c = 7.4017 Å, α = 90.00°, β = 122.13° and γ = 90.00°. The inequivalent atoms are Ac at (0.1355, 0.0000, 0.2603), Si at (0.0000, 0.5000, 0.5000), Si at (0.1530, 0.5000, 0.9315) and Ir at (0.1312, 0.0000, 0.7182).

The value obtained for the offset from the most stable computed form is 0 meV per atom. The uncorrected formation energy is -4.807 eV/f.u.

[10]
## Ac2Si7Ir12 (PBE-GGA)

Data for an optimized crystal structure of Ac2Si7Ir12.

It has space group P-6 (No. 174), with a = 9.9121 Å, b = 9.9121 Å, c = 3.9367 Å, α = 90.00°, β = 90.00° and γ = 120.00°. The inequivalent atoms are Ac at (0.0000, 0.0000, 0.0000), Ac at (0.3333, 0.6667, 0.5000), Si at (0.0634, 0.4417, 0.0000), Si at (0.2700, 0.2287, 0.5000), Si at (0.6667, 0.3333, 0.0000), Ir at (0.0492, 0.2769, 0.5000), Ir at (0.1079, 0.7124, 0.0000), Ir at (0.3983, 0.1858, 0.0000) and Ir at (0.5307, 0.4449, 0.5000).

The uncorrected formation energy is -15.603 eV/f.u.

[11]
## Ac3Si7Ir2 (PBE-GGA)

Data for an optimized crystal structure of Ac3Si7Ir2.

It has space group P2/m (No. 10), with a = 5.0321 Å, b = 4.3823 Å, c = 11.7888 Å, α = 90.00°, β = 101.44° and γ = 90.00°. The inequivalent atoms are Ac at (0.0000, 0.0000, 0.0000), Ac at (0.1930, 0.0000, 0.3775), Si at (0.1119, 0.5000, 0.8030), Si at (0.3066, 0.5000, 0.6238), Si at (0.4004, 0.0000, 0.8069), Si at (0.5000, 0.5000, 0.0000) and Ir at (0.3624, 0.5000, 0.1861).

The uncorrected formation energy is -6.244 eV/f.u.

[12]
## Ac3Si3Ir (PBE-GGA)

Data for an optimized crystal structure of Ac3Si3Ir.

It has space group P6_3/m (No. 176), with a = 9.0605 Å, b = 9.0605 Å, c = 6.2616 Å, α = 90.00°, β = 90.00° and γ = 120.00°. The inequivalent atoms are Ac at (0.0900, 0.3803, 0.2500), Si at (0.0964, 0.3973, 0.7500) and Ir at (0.3333, 0.6667, 0.7500).

The value obtained for the offset from the most stable computed form is 298 meV per atom. The uncorrected formation energy is -2.632 eV/f.u.

[13]
## AcSi3Ir3 (PBE-GGA)

Data for an optimized crystal structure of AcSi3Ir3.

It has space group R-3 (No. 148, hexagonal axes), with a = 6.7750 Å, b = 6.7750 Å, c = 22.1990 Å, α = 90.00°, β = 90.00° and γ = 120.00°. The inequivalent atoms are Ac at (0.0000, 0.0000, 0.1740), Si at (0.0259, 0.6075, 0.0525) and Ir at (0.0098, 0.7511, 0.9482).

The value obtained for the offset from the most stable computed form is 7 meV per atom. The uncorrected formation energy is -4.124 eV/f.u.

[14]
## Ac3Si2Ir3 (PBE-GGA)

Data for an optimized crystal structure of Ac3Si2Ir3.

It has space group Cmcm (No. 63), with a = 4.3841 Å, b = 11.5054 Å, c = 15.2238 Å, α = 90.00°, β = 90.00° and γ = 90.00°. The inequivalent atoms are Ac at (0.0000, 0.0760, 0.1072), Ac at (0.0000, 0.3670, 0.2500), Si at (0.0000, 0.2127, 0.5997), Ir at (0.0000, 0.3125, 0.7500) and Ir at (0.0000, 0.3243, 0.0387).

The uncorrected formation energy is -6.164 eV/f.u.

[15]
## AcSi3Ir5 (PBE-GGA)

Data for an optimized crystal structure of AcSi3Ir5.

It has space group Cmcm (No. 63), with a = 3.9818 Å, b = 12.4637 Å, c = 12.4795 Å, α = 90.00°, β = 90.00° and γ = 90.00°. The inequivalent atoms are Ac at (0.0000, 0.1613, 0.2500), Si at (0.0000, 0.1161, 0.7500), Si at (0.0000, 0.3858, 0.5376), Ir at (0.0000, 0.0000, 0.0000), Ir at (0.0000, 0.2035, 0.5716) and Ir at (0.0000, 0.4459, 0.1457).

The uncorrected formation energy is -6.368 eV/f.u.

[16]
## AcSi2Ir2 (PBE-GGA)

Data for an optimized crystal structure of AcSi2Ir2.

It has space group Fddd (No. 70, origin choice 2), with a = 6.1130 Å, b = 10.2374 Å, c = 12.7914 Å, α = 90.00°, β = 90.00° and γ = 90.00°. The inequivalent atoms are Ac at (0.1250, 0.1250, 0.1250), Si at (0.1250, 0.3094, 0.6250) and Ir at (0.1250, 0.1250, 0.5061).

The value obtained for the offset from the most stable computed form is 34 meV per atom. The uncorrected formation energy is -4.572 eV/f.u.

[17]
## Ac3SiIr (PBE-GGA)

Data for an optimized crystal structure of Ac3SiIr.

It has space group Pnma (No. 62), with a = 12.2405 Å, b = 4.4670 Å, c = 11.7898 Å, α = 90.00°, β = 90.00° and γ = 90.00°. The inequivalent atoms are Ac at (0.0466, 0.2500, 0.1421), Ac at (0.1129, 0.7500, 0.5555), Ac at (0.2252, 0.2500, 0.8001), Si at (0.1857, 0.7500, 0.9991) and Ir at (0.0026, 0.7500, 0.3168).

The value obtained for the offset from the most stable computed form is 0 meV per atom. The uncorrected formation energy is -2.504 eV/f.u.

[18]
## Ac2SiIr3 (PBE-GGA)

Data for an optimized crystal structure of Ac2SiIr3.

It has space group Pmm2 (No. 25), with a = 4.1833 Å, b = 4.5254 Å, c = 7.5626 Å, α = 90.00°, β = 90.00° and γ = 90.00°. The inequivalent atoms are Ac at (0.0000, 0.0000, 0.0000), Ac at (0.5000, 0.0000, 0.4831), Si at (0.0000, 0.5000, 0.6564), Ir at (0.0000, 0.5000, 0.3457), Ir at (0.5000, 0.5000, 0.1487) and Ir at (0.5000, 0.5000, 0.8151).

The uncorrected formation energy is -4.062 eV/f.u.

[19]
## Ac3Si3Ir (PBE-GGA)

Data for an optimized crystal structure of Ac3Si3Ir.

It has space group C2/m (No. 12), with a = 11.8912 Å, b = 4.4444 Å, c = 14.5573 Å, α = 90.00°, β = 109.65° and γ = 90.00°. The inequivalent atoms are Ac at (0.0257, 0.0000, 0.3870), Ac at (0.1094, 0.0000, 0.9202), Ac at (0.2475, 0.0000, 0.2299), Si at (0.0510, 0.5000, 0.2337), Si at (0.0909, 0.5000, 0.0733), Si at (0.1872, 0.5000, 0.5387) and Ir at (0.2363, 0.5000, 0.3838).

The value obtained for the offset from the most stable computed form is 0 meV per atom. The uncorrected formation energy is -4.717 eV/f.u.